(1)
DFT (GGA-PBE) results for a relaxed structure of Na4LiTh3Se8.

```
16
Lattice="4.226 2.440 6.984 -4.226 2.440 6.984 0.000 -4.880 6.984" Properties=species:S:1:pos:R:3 pbc="T T T"
Na 0.000 0.000 0.000
Na -2.113 -1.220 6.984
Na -2.113 1.220 13.969
Na 0.000 2.440 6.984
Li 0.000 0.000 10.477
Th -4.226 0.000 10.477
Th -2.113 1.220 3.492
Th 2.113 1.220 3.492
Se -2.124 -1.226 12.096
Se 0.000 0.000 5.189
Se 0.000 -2.452 8.857
Se -2.124 1.226 8.857
Se 2.124 -1.226 12.096
Se 0.000 2.452 12.096
Se 0.000 0.000 15.764
Se 2.124 1.226 8.857
```

Values from the calculation:
M_tot = 0.000 μB/atom
formation energy from raw total energies = -1485 meV/atom

=====

(2)
DFT (GGA-PBE) results for a relaxed structure of TiFe2GeAu.

```
5
Lattice="4.326 0.000 0.000 0.000 4.326 0.000 0.000 0.000 4.844" Properties=species:S:1:pos:R:3 pbc="T T T"
Ti 0.000 0.000 0.000
Fe 0.000 2.163 0.000
Fe 2.163 0.000 0.000
Ge 0.000 0.000 2.422
Au 2.163 2.163 2.422
```

Values from the calculation:
M_tot = 0.719 μB/atom
energy relative to the elements = 4.84 eV/f.u.

=====

(3)
DFT (GGA-PBE) results for a relaxed structure of CuIrS2.

```
16
Lattice="5.739 0.000 0.000 0.000 3.364 0.000 0.000 0.000 13.084" Properties=species:S:1:pos:R:3 pbc="T T T"
Cu 1.305 0.841 2.307
Cu 1.565 2.523 8.849
Cu 4.174 0.841 4.236
Cu 4.434 2.523 10.778
Ir 0.439 2.523 5.015
Ir 2.431 0.841 11.557
Ir 3.308 2.523 1.527
Ir 5.300 0.841 8.069
S 0.294 0.841 10.415
S 1.283 0.841 6.411
S 1.586 2.523 12.954
S 2.575 2.523 3.873
S 3.163 0.841 9.211
S 4.152 0.841 0.131
S 4.456 2.523 6.673
S 5.445 2.523 2.669
```

Values from the calculation:
M_tot = 0.000 μB/atom
formation energy from raw total energies = -52 meV/atom

=====

(4)
DFT (GGA-PBE) results for a relaxed structure of CaLaSc2.

```
4
Lattice="1.757 1.015 11.589 -1.757 1.015 11.589 0.000 -2.029 11.589" Properties=species:S:1:pos:R:3 pbc="T T T"
Ca 0.000 0.000 0.000
La 0.000 0.000 26.510
Sc 0.000 0.000 8.597
Sc 0.000 0.000 17.698
```

Values from the calculation:
polymorph energy (0 for the lowest one) = 22 meV per atom
M_tot = 0.052 μB/atom
energy relative to the elements = 0.53 eV/f.u.

=====

(5)
DFT (GGA-PBE) results for a relaxed structure of Li2TbEr.

```
4
Lattice="1.652 0.954 11.772 -1.652 0.954 11.772 0.000 -1.907 11.772" Properties=species:S:1:pos:R:3 pbc="T T T"
Li 0.000 0.000 3.105
Li 0.000 0.000 32.212
Tb 0.000 0.000 17.658
Er 0.000 0.000 0.000
```

Values from the calculation:
polymorph energy (0 for the lowest one) = 137 meV per atom
M_tot = 0.000 μB/atom
energy relative to the elements = 1.17 eV/f.u.

=====

(6)
DFT (GGA-PBE) results for a relaxed structure of NdMgI4.

```
6
Lattice="7.872 0.000 0.000 0.000 4.127 0.000 -0.536 0.000 7.955" Properties=species:S:1:pos:R:3 pbc="T T T"
Nd 0.000 0.000 0.000
Mg -0.268 2.064 3.977
I 1.490 0.000 2.825
I 1.415 2.064 6.473
I 5.921 2.064 1.482
I 5.846 0.000 5.129
```

Values from the calculation:
M_tot = 0.030 μB/atom
formation energy from raw total energies = -1126 meV/atom

=====

(7)
DFT (GGA-PBE) results for a relaxed structure of AlZn2.

```
9
Lattice="7.787 0.000 0.000 -3.894 6.744 0.000 0.000 0.000 2.786" Properties=species:S:1:pos:R:3 pbc="T T T"
Al 0.000 0.000 0.000
Al 0.000 4.496 1.393
Al 3.894 2.248 1.393
Zn -1.146 1.986 1.393
Zn -2.430 4.209 0.000
Zn 2.293 0.000 1.393
Zn 1.464 2.535 0.000
Zn 4.860 0.000 0.000
Zn 2.747 4.758 1.393
```

Values from the calculation:
M_tot = 0.000 μB/atom
energy relative to the elements = 0.33 eV/f.u.

=====

(8)
DFT (GGA-PBE) results for a relaxed structure of Sn3GeSe4.

```
16
Lattice="11.961 0.000 0.000 0.000 6.032 0.000 0.000 0.000 6.045" Properties=species:S:1:pos:R:3 pbc="T T T"
Sn 0.000 1.455 0.000
Sn 2.992 1.500 3.003
Sn 2.989 4.531 6.026
Sn 5.980 4.577 3.023
Sn 8.969 1.500 3.003
Sn 8.972 4.531 6.026
Ge 0.000 4.749 3.142
Ge 5.980 1.282 0.119
Se 0.000 1.341 2.896
Se 0.000 4.602 5.758
Se 2.918 4.533 2.891
Se 3.063 1.499 5.914
Se 5.980 1.430 2.735
Se 5.980 4.691 5.919
Se 8.898 1.499 5.914
Se 9.043 4.533 2.891
```

Values from the calculation:
polymorph energy (0 for the lowest one) = 0 meV per atom
M_tot = 0.000 μB/atom
formation energy from raw total energies = -375 meV/atom

=====

(9)
DFT (GGA-PBE) results for a relaxed structure of Ho4ErLu.

```
6
Lattice="0.000 4.578 4.578 4.578 0.000 4.578 4.578 4.578 0.000" Properties=species:S:1:pos:R:3 pbc="T T T"
Ho 1.145 1.145 1.145
Ho 3.433 3.433 1.145
Ho 3.433 1.145 3.433
Ho 1.145 3.433 3.433
Er 4.578 4.578 4.578
Lu 6.866 6.866 6.866
```

Values from the calculation:
M_tot = 0.000 μB/atom
energy relative to the elements = 1.55 eV/f.u.

=====

(10)
DFT (GGA-PBE) results for a relaxed structure of KBaIn2Os.

```
5
Lattice="5.705 0.000 0.000 0.000 5.705 0.000 0.000 0.000 6.261" Properties=species:S:1:pos:R:3 pbc="T T T"
K 0.000 0.000 0.000
Ba 0.000 0.000 3.130
In 0.000 2.852 0.000
In 2.852 0.000 0.000
Os 2.852 2.852 3.130
```

Values from the calculation:
M_tot = 0.412 μB/atom
energy relative to the elements = 9.03 eV/f.u.